An optimized crystal structure of Gd2CrRh. Source: Alexandria, functional PBE-GGA.

Cell and atoms, written as extended XYZ:
```
4
Lattice="4.8882 0.0000 0.0000 0.0000 4.8882 0.0000 0.0000 0.0000 3.6148" Properties=species:S:1:pos:R:3 pbc="T T T"
Gd 0.0000 2.4441 0.0000
Gd 2.4441 0.0000 0.0000
Cr 0.0000 0.0000 1.8074
Rh 2.4441 2.4441 1.8074
```

Properties
Symmetry: P4/mmm
DFT formation energy: -0.1485 eV/atom
Total DFT energy (no corrections): -11.433 eV/atom
Calculated volume: 21.594 Å³/atom
Magnetization: 17.39 μB/cell

An optimized crystal structure of Gd2CrRu. Source: Alexandria, functional PBE-GGA.

Cell and atoms, written as extended XYZ:
```
4
Lattice="0.0000 3.5010 3.5010 3.5010 0.0000 3.5010 3.5010 3.5010 0.0000" Properties=species:S:1:pos:R:3 pbc="T T T"
Gd 1.7505 1.7505 1.7505
Gd 5.2515 5.2515 5.2515
Cr 0.0000 0.0000 0.0000
Ru 3.5010 3.5010 3.5010
```

Properties
Symmetry: Fm-3m
DFT formation energy: 0.0753 eV/atom
Total DFT energy (no corrections): -11.690 eV/atom
Calculated volume: 21.456 Å³/atom
Distance to the lowest polymorph of the same formula: 0.0 meV per atom
Magnetization: 17.61 μB/cell

An optimized crystal structure of Gd2CrRu. Source: Alexandria, functional PBE-GGA.

Cell and atoms, written as extended XYZ:
```
4
Lattice="4.8842 0.0000 0.0000 0.0000 4.8842 0.0000 0.0000 0.0000 3.5772" Properties=species:S:1:pos:R:3 pbc="T T T"
Gd 0.0000 2.4421 0.0000
Gd 2.4421 0.0000 0.0000
Cr 0.0000 0.0000 1.7886
Ru 2.4421 2.4421 1.7886
```

Properties
Symmetry: P4/mmm
DFT formation energy: 0.0900 eV/atom
Total DFT energy (no corrections): -11.675 eV/atom
Calculated volume: 21.334 Å³/atom
Distance to the lowest polymorph of the same formula: 14.7 meV per atom
Magnetization: 17.55 μB/cell

An optimized crystal structure of GdTmCrRu. Source: Alexandria, functional PBE-GGA.

Cell and atoms, written as extended XYZ:
```
4
Lattice="0.0000 3.4583 3.4583 3.4583 0.0000 3.4583 3.4583 3.4583 0.0000" Properties=species:S:1:pos:R:3 pbc="T T T"
Gd 0.0000 0.0000 0.0000
Tm 3.4583 3.4583 3.4583
Cr 1.7292 1.7292 1.7292
Ru 5.1875 5.1875 5.1875
```

Properties
Symmetry: F-43m
DFT formation energy: -0.0328 eV/atom
Total DFT energy (no corrections): -9.396 eV/atom
Calculated volume: 20.681 Å³/atom
Magnetization: 3.45 μB/cell

An optimized crystal structure of GdCrS2. Source: Alexandria, functional PBE-GGA.

Cell and atoms, written as extended XYZ:
```
4
Lattice="1.8102 1.0451 7.9345 -1.8102 1.0451 7.9345 0.0000 -2.0903 7.9345" Properties=species:S:1:pos:R:3 pbc="T T T"
Gd 0.0000 0.0000 0.0000
Cr 0.0000 0.0000 11.9018
S 0.0000 0.0000 2.7152
S 0.0000 0.0000 21.0883
```

Properties
Symmetry: R-3m
Total DFT energy (no corrections): -8.722 eV/atom
Calculated volume: 22.517 Å³/atom
Magnetization: 4.08 μB/cell
Formation energy from raw total energies: -0.7319 eV/atom

An optimized crystal structure of GdCrSb2. Source: Alexandria, functional PBE-GGA.

Cell and atoms, written as extended XYZ:
```
4
Lattice="2.1141 1.2206 6.4705 -2.1141 1.2206 6.4705 0.0000 -2.4411 6.4705" Properties=species:S:1:pos:R:3 pbc="T T T"
Gd 0.0000 0.0000 0.0000
Cr 0.0000 0.0000 9.7058
Sb 0.0000 0.0000 4.5587
Sb 0.0000 0.0000 14.8529
```

Properties
Symmetry: R-3m
Total DFT energy (no corrections): -8.450 eV/atom
Calculated volume: 25.045 Å³/atom
Magnetization: 4.17 μB/cell
Formation energy from raw total energies: -0.4625 eV/atom

What did the third record say?
An optimized crystal structure of Gd2CrRu. Source: Alexandria, functional PBE-GGA.

Cell and atoms, written as extended XYZ:
```
4
Lattice="4.8842 0.0000 0.0000 0.0000 4.8842 0.0000 0.0000 0.0000 3.5772" Properties=species:S:1:pos:R:3 pbc="T T T"
Gd 0.0000 2.4421 0.0000
Gd 2.4421 0.0000 0.0000
Cr 0.0000 0.0000 1.7886
Ru 2.4421 2.4421 1.7886
```

Properties
Symmetry: P4/mmm
DFT formation energy: 0.0900 eV/atom
Total DFT energy (no corrections): -11.675 eV/atom
Calculated volume: 21.334 Å³/atom
Distance to the lowest polymorph of the same formula: 14.7 meV per atom
Magnetization: 17.55 μB/cell